No. 1
LaTa2Re | Alexandria | SCAN | PBEsol geometry; total magnetization = 0.001 μB per atom; ΔE to the lowest computed polymorph = 67.6 meV/atom; space group = P4/mmm; raw total energy = -244.11 eV/cell; calculated formation energy = 0.82 eV per atom
1.0
3.966 0.000 0.000
0.000 3.966 0.000
0.000 0.000 4.936
La Ta Re
1 2 1
direct
0.000 0.000 0.000
0.000 0.500 0.500
0.500 0.000 0.500
0.500 0.500 0.000

---

No. 2
La2TaRe | Alexandria | SCAN | PBEsol geometry; total magnetization = 0.000 μB per atom; ΔE to the lowest computed polymorph = 374.2 meV/atom; space group = F-43m; raw total energy = -221.49 eV/cell; calculated formation energy = 0.60 eV per atom
1.0
0.000 3.493 3.493
3.493 0.000 3.493
3.493 3.493 0.000
La Ta Re
2 1 1
direct
0.000 0.000 0.000
0.250 0.250 0.250
0.500 0.500 0.500
0.750 0.750 0.750

---

No. 3
La2TaReTc | Alexandria | SCAN | PBEsol geometry; total magnetization = 0.464 μB per atom; space group = P4/mmm; raw total energy = -252.93 eV/cell; calculated formation energy = 1.20 eV per atom
1.0
5.391 0.000 0.000
0.000 5.391 0.000
0.000 0.000 4.626
La Ta Re Tc
2 1 1 1
direct
0.000 0.500 0.000
0.500 0.000 0.000
0.000 0.000 0.500
0.500 0.500 0.000
0.500 0.500 0.500

---

No. 4
LaReTc2 | Alexandria | SCAN | PBEsol geometry; total magnetization = 0.000 μB per atom; space group = C2/m; raw total energy = -181.79 eV/cell; calculated formation energy = 0.63 eV per atom
1.0
2.919 -4.396 0.000
2.919 4.396 0.000
-1.015 0.000 2.632
La Re Tc
1 1 2
direct
0.000 0.000 0.000
0.500 0.500 0.000
0.000 0.500 0.500
0.500 0.000 0.500

---

No. 5
LaReTc2 | Alexandria | SCAN | PBEsol geometry; total magnetization = 0.000 μB per atom; space group = Immm; raw total energy = -182.19 eV/cell; calculated formation energy = 0.53 eV per atom
1.0
-1.535 2.546 4.595
1.535 -2.546 4.595
1.535 2.546 -4.595
La Re Tc
1 1 2
direct
0.000 0.000 0.000
0.500 0.500 0.000
0.281 0.781 0.500
0.719 0.219 0.500

---

No. 6
LaReTc2 | Alexandria | SCAN | PBEsol geometry; total magnetization = 0.000 μB per atom; space group = Cmm2; raw total energy = -182.05 eV/cell; calculated formation energy = 0.57 eV per atom
1.0
1.524 -2.363 0.000
1.524 2.363 0.000
0.000 0.000 9.383
La Re Tc
1 1 2
direct
0.000 0.000 0.000
0.500 0.500 0.717
0.000 0.000 0.495
0.500 0.500 0.276

---

No. 7
LaReTc2 | Alexandria | SCAN | PBEsol geometry; total magnetization = 0.000 μB per atom; space group = F-43m; raw total energy = -182.00 eV/cell; calculated formation energy = 0.58 eV per atom
1.0
0.000 3.237 3.237
3.237 0.000 3.237
3.237 3.237 0.000
La Re Tc
1 1 2
direct
0.000 0.000 0.000
0.250 0.250 0.250
0.500 0.500 0.500
0.750 0.750 0.750

---

No. 8
LaReTe2 | Alexandria | SCAN | PBEsol geometry; total magnetization = 0.000 μB per atom; formation energy without anion corrections = -20 kJ/mol of atoms; ΔE to the lowest computed polymorph = 0.0 meV/atom; space group = P4mm; raw total energy = -189.53 eV/cell
1.0
3.349 0.000 0.000
0.000 3.349 0.000
0.000 0.000 9.072
La Re Te
1 1 2
direct
0.000 0.000 0.000
0.500 0.500 0.233
0.000 0.000 0.380
0.500 0.500 0.733